First-principles (PBE) data for a relaxed structure of Ba3InRh, as listed in Alexandria via LeMat-Bulk.

It has space group Pm-3m (No. 221), with a = 5.992 Å, b = 5.992 Å, c = 5.992 Å, α = 90.00°, β = 90.00° and γ = 90.00°. The inequivalent atoms are Ba at (0.000, 0.000, 0.500), In at (0.500, 0.500, 0.500) and Rh at (0.000, 0.000, 0.000).

The formation energy comes out at -0.17 eV per atom. The value obtained for the excess energy over the best structure of this formula in the dataset is 70.5 meV per atom. As for the density of states at the Fermi level: 9.7 states/eV/f.u. As for the total magnetic moment: 0.05 μB per atom.